(1)
K2TlZnSb2 | PBE | relaxed

Output
formation energy from raw total energies = -320 meV per atom
volume = 33.72 Å³ per atom

```
data_K2TlZnSb2
_space_group_name_H-M_alt 'I b a m'
_space_group_IT_number 72
_space_group_name_Hall '-I 2 2c'
_cell_length_a 7.1867
_cell_length_b 15.9560
_cell_length_c 7.0565
_cell_angle_alpha 90.00
_cell_angle_beta 90.00
_cell_angle_gamma 90.00
loop_
_atom_site_label
_atom_site_type_symbol
_atom_site_fract_x
_atom_site_fract_y
_atom_site_fract_z
K1 K 0.2406 0.1677 0.0000
Tl1 Tl 0.0000 0.0000 0.2500
Zn1 Zn 0.0000 0.5000 0.2500
Sb1 Sb 0.2142 0.3994 0.0000
```

***

(2)
Cr3CuCl | PBE | relaxed

Output
formation energy from raw total energies = 1148 meV per atom
volume = 21.93 Å³ per atom
relative energy among the computed polymorphs = 0.175 eV per atom

```
data_Cr3CuCl
_space_group_name_H-M_alt 'P m -3 m'
_space_group_IT_number 221
_space_group_name_Hall '-P 4 2 3'
_cell_length_a 4.7865
_cell_length_b 4.7865
_cell_length_c 4.7865
_cell_angle_alpha 90.00
_cell_angle_beta 90.00
_cell_angle_gamma 90.00
loop_
_atom_site_label
_atom_site_type_symbol
_atom_site_fract_x
_atom_site_fract_y
_atom_site_fract_z
Cr1 Cr 0.0000 0.0000 0.5000
Cu1 Cu 0.0000 0.0000 0.0000
Cl1 Cl 0.5000 0.5000 0.5000
```

***

(3)
CaMo2Rh | PBE | relaxed

Output
volume = 17.19 Å³ per atom
relative energy among the computed polymorphs = 0.207 eV per atom

```
data_CaMo2Rh
_space_group_name_H-M_alt 'C 1 2/m 1'
_space_group_IT_number 12
_cell_length_a 5.2954
_cell_length_b 9.7298
_cell_length_c 2.7819
_cell_angle_alpha 90.00
_cell_angle_beta 106.37
_cell_angle_gamma 90.00
loop_
_space_group_symop_operation_xyz
'x,y,z'
'-x,-y,-z'
'-x,y,-z'
'x,-y,z'
'x+1/2,y+1/2,z'
'-x+1/2,-y+1/2,-z'
'-x+1/2,y+1/2,-z'
'x+1/2,-y+1/2,z'
loop_
_atom_site_label
_atom_site_type_symbol
_atom_site_fract_x
_atom_site_fract_y
_atom_site_fract_z
Ca1 Ca 0.0000 0.0000 0.0000
Mo1 Mo 0.2500 0.2500 0.5000
Rh1 Rh 0.0000 0.5000 0.0000
```

***

(4)
TcMoP2 | PBE | relaxed

Output
volume = 13.20 Å³ per atom
relative energy among the computed polymorphs = 0.199 eV per atom

```
data_TcMoP2
_space_group_name_H-M_alt 'P 4/m m m'
_space_group_IT_number 123
_space_group_name_Hall '-P 4 2'
_cell_length_a 2.9807
_cell_length_b 2.9807
_cell_length_c 5.9445
_cell_angle_alpha 90.00
_cell_angle_beta 90.00
_cell_angle_gamma 90.00
loop_
_atom_site_label
_atom_site_type_symbol
_atom_site_fract_x
_atom_site_fract_y
_atom_site_fract_z
Tc1 Tc 0.0000 0.0000 0.0000
Mo1 Mo 0.0000 0.0000 0.5000
P1 P 0.5000 0.5000 0.2497
```

***

(5)
AcPaAs3Au | PBE | relaxed

Output
final energy = -6.05 eV/atom
volume = 26.42 Å³ per atom

```
data_AcPaAs3Au
_space_group_name_H-M_alt 'P 1 21/m 1'
_space_group_IT_number 11
_cell_length_a 8.3881
_cell_length_b 4.2157
_cell_length_c 9.3017
_cell_angle_alpha 90.00
_cell_angle_beta 105.41
_cell_angle_gamma 90.00
loop_
_space_group_symop_operation_xyz
'x,y,z'
'-x,-y,-z'
'-x,y+1/2,-z'
'x,-y+1/2,z'
loop_
_atom_site_label
_atom_site_type_symbol
_atom_site_fract_x
_atom_site_fract_y
_atom_site_fract_z
Ac1 Ac 0.2012 0.2500 0.2423
Pa1 Pa 0.3165 0.7500 0.8342
As1 As 0.0951 0.2500 0.8660
As2 As 0.2727 0.7500 0.5230
As3 As 0.4449 0.7500 0.1527
Au1 Au 0.1088 0.2500 0.5797
```

***

(6)
GdDyTmTh | PBE | relaxed

Output
final energy = -7.52 eV/atom
volume = 31.88 Å³ per atom

```
data_GdDyTmTh
_space_group_name_H-M_alt 'F -4 3 m'
_space_group_IT_number 216
_space_group_name_Hall 'F -4 2 3'
_cell_length_a 7.9901
_cell_length_b 7.9901
_cell_length_c 7.9901
_cell_angle_alpha 90.00
_cell_angle_beta 90.00
_cell_angle_gamma 90.00
loop_
_atom_site_label
_atom_site_type_symbol
_atom_site_fract_x
_atom_site_fract_y
_atom_site_fract_z
Gd1 Gd 0.0000 0.0000 0.0000
Dy1 Dy 0.2500 0.2500 0.2500
Tm1 Tm 0.2500 0.2500 0.7500
Th1 Th 0.0000 0.0000 0.5000
```

***

(7)
K3Pt | PBE | relaxed

Output
final energy = -2.27 eV/atom
volume = 44.53 Å³ per atom

```
data_K3Pt
_space_group_name_H-M_alt 'P m m n'
_space_group_IT_number 59
_cell_length_a 4.4476
_cell_length_b 8.3916
_cell_length_c 9.5449
_cell_angle_alpha 90.00
_cell_angle_beta 90.00
_cell_angle_gamma 90.00
loop_
_space_group_symop_operation_xyz
'x,y,z'
'-x,-y,-z'
'-x+1/2,-y+1/2,z'
'x+1/2,y+1/2,-z'
'x+1/2,-y,-z'
'-x+1/2,y,z'
'-x,y+1/2,-z'
'x,-y+1/2,z'
loop_
_atom_site_label
_atom_site_type_symbol
_atom_site_fract_x
_atom_site_fract_y
_atom_site_fract_z
K1 K 0.2500 0.0247 0.1454
K2 K 0.2500 0.7500 0.4317
Pt1 Pt 0.2500 0.2500 0.8420
```

***

(8)
MgScB | PBE | relaxed

Output
volume = 16.32 Å³ per atom
relative energy among the computed polymorphs = 0.596 eV per atom

```
data_MgScB
_space_group_name_H-M_alt 'P n m a'
_space_group_IT_number 62
_cell_length_a 5.8861
_cell_length_b 5.6670
_cell_length_c 5.8723
_cell_angle_alpha 90.00
_cell_angle_beta 90.00
_cell_angle_gamma 90.00
loop_
_space_group_symop_operation_xyz
'x,y,z'
'-x,-y,-z'
'-x+1/2,-y,z+1/2'
'x+1/2,y,-z+1/2'
'x+1/2,-y+1/2,-z+1/2'
'-x+1/2,y+1/2,z+1/2'
'-x,y+1/2,-z'
'x,-y+1/2,z'
loop_
_atom_site_label
_atom_site_type_symbol
_atom_site_fract_x
_atom_site_fract_y
_atom_site_fract_z
Mg1 Mg 0.2008 0.2500 0.2057
Sc1 Sc 0.2076 0.7500 0.2054
B1 B 0.0000 0.0000 0.5000
```

***

(9)
Zr2TcRu | PBE | relaxed

Output
final energy = -9.35 eV/atom
volume = 17.87 Å³ per atom

```
data_Zr2TcRu
_space_group_name_H-M_alt 'C 1 2/m 1'
_space_group_IT_number 12
_cell_length_a 6.0393
_cell_length_b 8.5033
_cell_length_c 3.0018
_cell_angle_alpha 90.00
_cell_angle_beta 111.97
_cell_angle_gamma 90.00
loop_
_space_group_symop_operation_xyz
'x,y,z'
'-x,-y,-z'
'-x,y,-z'
'x,-y,z'
'x+1/2,y+1/2,z'
'-x+1/2,-y+1/2,-z'
'-x+1/2,y+1/2,-z'
'x+1/2,-y+1/2,z'
loop_
_atom_site_label
_atom_site_type_symbol
_atom_site_fract_x
_atom_site_fract_y
_atom_site_fract_z
Zr1 Zr 0.2500 0.2500 0.0000
Tc1 Tc 0.0000 0.0000 0.5000
Ru1 Ru 0.0000 0.5000 0.5000
```

***

(10)
Gd2LuMg | PBE | relaxed

Output
volume = 29.40 Å³ per atom
relative energy among the computed polymorphs = 0.040 eV per atom

```
data_Gd2LuMg
_space_group_name_H-M_alt 'P 4/m m m'
_space_group_IT_number 123
_space_group_name_Hall '-P 4 2'
_cell_length_a 5.5301
_cell_length_b 5.5301
_cell_length_c 3.8459
_cell_angle_alpha 90.00
_cell_angle_beta 90.00
_cell_angle_gamma 90.00
loop_
_atom_site_label
_atom_site_type_symbol
_atom_site_fract_x
_atom_site_fract_y
_atom_site_fract_z
Gd1 Gd 0.0000 0.5000 0.0000
Lu1 Lu 0.0000 0.0000 0.5000
Mg1 Mg 0.5000 0.5000 0.5000
```

***

(11)
PrY4Cu | PBE | relaxed

Output
final energy = -5.84 eV/atom
volume = 29.38 Å³ per atom

```
data_PrY4Cu
_space_group_name_H-M_alt 'P 4/m m m'
_space_group_IT_number 123
_space_group_name_Hall '-P 4 2'
_cell_length_a 3.5612
_cell_length_b 3.5612
_cell_length_c 13.9017
_cell_angle_alpha 90.00
_cell_angle_beta 90.00
_cell_angle_gamma 90.00
loop_
_atom_site_label
_atom_site_type_symbol
_atom_site_fract_x
_atom_site_fract_y
_atom_site_fract_z
Pr1 Pr 0.0000 0.0000 0.0000
Y1 Y 0.0000 0.0000 0.3785
Y2 Y 0.5000 0.5000 0.1881
Cu1 Cu 0.5000 0.5000 0.5000
```

***

(12)
Sb2As | PBE | relaxed

Output
formation energy from raw total energies = 179 meV per atom
volume = 28.31 Å³ per atom
relative energy among the computed polymorphs = 0.112 eV per atom

```
data_Sb2As
_space_group_name_H-M_alt 'P n n m'
_space_group_IT_number 58
_cell_length_a 5.8544
_cell_length_b 7.5616
_cell_length_c 3.8371
_cell_angle_alpha 90.00
_cell_angle_beta 90.00
_cell_angle_gamma 90.00
loop_
_space_group_symop_operation_xyz
'x,y,z'
'-x,-y,-z'
'-x,-y,z'
'x,y,-z'
'x+1/2,-y+1/2,-z+1/2'
'-x+1/2,y+1/2,z+1/2'
'-x+1/2,y+1/2,-z+1/2'
'x+1/2,-y+1/2,z+1/2'
loop_
_atom_site_label
_atom_site_type_symbol
_atom_site_fract_x
_atom_site_fract_y
_atom_site_fract_z
Sb1 Sb 0.1754 0.1356 0.0000
As1 As 0.0000 0.5000 0.0000
```